PBE-GGA Er2HgAu, relaxed; space-group type = Cm, No. 8; energy relative to the elements = -2.13 eV per formula unit; total magnetic moment = 0.00 μB per atom
1.0
3.952 0.009 0.002
1.984 3.418 0.002
1.983 1.145 7.933
Er Hg Au
2 1 1
Direct
0.077 0.077 0.770
0.258 0.258 0.228
0.500 0.500 0.500
0.666 0.666 0.002

=====

PBE-GGA Ho4TlNi, relaxed; space-group type = P2_1/c, No. 14; excess energy over the best structure of this formula in the dataset = 111 kJ/mol of formula units; energy relative to the elements = -0.76 eV per formula unit; total magnetic moment = 0.00 μB per atom
1.0
-4.200 -4.305 3.200
4.614 -5.285 -1.054
3.517 1.864 6.045
Ho Tl Ni
8 2 2
Direct
0.182 0.833 0.637
0.318 0.333 0.363
0.682 0.667 0.637
0.818 0.167 0.363
0.896 0.640 0.186
0.104 0.360 0.814
0.604 0.140 0.814
0.396 0.860 0.186
0.000 0.000 0.000
0.500 0.500 0.000
0.000 0.500 0.500
0.500 0.000 0.500

=====

PBE-GGA SmCuPt, relaxed; space-group type = P4/nmm, No. 129; excess energy over the best structure of this formula in the dataset = 0 kJ/mol of formula units; energy relative to the elements = -2.31 eV per formula unit; total magnetic moment = 0.00 μB per atom
1.0
4.127 0.000 0.000
0.000 4.127 0.000
0.000 0.000 7.049
Pt Cu Sm
2 2 2
Direct
0.000 0.000 0.242
0.500 0.500 0.758
0.500 0.000 0.000
0.000 0.500 0.000
0.500 0.500 0.330
0.000 0.000 0.670

=====

PBE-GGA Y2MnGa4Pt3, relaxed; space-group type = P-4m2, No. 115; energy relative to the elements = -8.19 eV per formula unit; total magnetic moment = 0.28 μB per atom
1.0
4.044 0.000 0.000
0.000 4.044 0.000
0.000 0.000 11.307
Ga Y Pt Mn
4 2 3 1
Direct
0.500 0.500 0.000
0.500 0.000 0.636
0.000 0.500 0.364
0.000 0.000 0.000
0.500 0.000 0.256
0.000 0.500 0.744
0.500 0.000 0.858
0.000 0.000 0.500
0.000 0.500 0.142
0.500 0.500 0.500

=====

Question: What is the formula in the fourth record?
Answer: Y2MnGa4Pt3